1.
GGA-PBE RbNd2Zn, optimized geometry; DFT formation energy = 4.3 kcal/mol of atoms; D(E_F) = 1.132 states/eV per atom; E_tot = -11.02 eV for the cell shown
1.0
-2.288 -2.820 -1.203
1.216 -2.434 -2.689
4.166 -9.148 7.441
Nd Zn Rb
2 1 1
Direct
0.110 0.110 0.670
0.890 0.890 0.330
0.500 0.500 0.500
0.000 0.000 0.000

=====

2.
GGA-PBE NdRe2, optimized geometry; DFT formation energy = 1.3 kcal/mol of atoms; D(E_F) = 1.431 states/eV per atom; E_tot = -59.00 eV for the cell shown
1.0
5.508 0.000 0.000
2.754 4.770 0.000
2.754 1.590 4.498
Nd Re
2 4
Direct
0.250 0.250 0.250
0.000 0.000 0.000
0.625 0.625 0.125
0.625 0.625 0.625
0.125 0.625 0.625
0.625 0.125 0.625

=====

3.
GGA-PBE NdRe2, optimized geometry; DFT formation energy = 0.3 kcal/mol of atoms; D(E_F) = 0.654 states/eV per atom; E_tot = -118.48 eV for the cell shown
1.0
5.509 0.000 0.000
-2.754 4.771 0.000
0.000 0.000 8.951
Re Nd
8 4
Direct
0.340 0.170 0.250
0.830 0.660 0.250
0.170 0.830 0.750
0.000 0.000 0.500
0.000 0.000 0.000
0.660 0.830 0.750
0.170 0.340 0.750
0.830 0.170 0.250
0.667 0.333 0.937
0.333 0.667 0.437
0.333 0.667 0.063
0.667 0.333 0.563